The following is a DFT calculation (GGA-PBE) of an optimized crystal structure of HfZr5Sb4.

```
HfZr5Sb4
1.0
4.303 0.000 0.000
0.000 7.019 -0.642
-2.151 -1.592 8.314
Hf Zr Sb
1 5 4
Direct
0.500 0.000 0.000
0.777 0.684 0.554
0.862 0.288 0.725
0.138 0.712 0.275
0.500 0.500 0.000
0.223 0.316 0.446
0.326 0.988 0.651
0.954 0.721 0.907
0.674 0.012 0.349
0.046 0.279 0.093
```

Calculated values
D(E_F)   7.13 states/eV per cell
Uncorrected formation energy   -296 meV per atom
Electronic total energy   -72.145 eV/f.u.
Calculated volume   246.7 Å³/cell


The following is a DFT calculation (GGA-PBE) of an optimized crystal structure of CrHgSe2.

```
CrHgSe2
1.0
-1.506 -0.749 2.808
-2.769 -1.745 -0.043
3.739 -9.043 1.501
Cr Hg Se
1 1 2
Direct
0.667 0.667 0.998
0.498 0.498 0.507
0.054 0.054 0.837
0.281 0.281 0.158
```

Calculated values
D(E_F)   2.85 states/eV per cell
Uncorrected formation energy   -252 meV per atom
Electronic total energy   -17.903 eV/f.u.
Calculated volume   90.2 Å³/cell


The following is a DFT calculation (GGA-PBE) of an optimized crystal structure of Th4CuRe.

```
Th4CuRe
1.0
6.002 0.000 0.000
0.000 7.267 0.000
0.000 0.000 7.267
Th Cu Re
8 2 2
Direct
0.000 0.174 0.657
0.000 0.826 0.343
0.000 0.343 0.174
0.000 0.657 0.826
0.500 0.826 0.657
0.500 0.174 0.343
0.500 0.657 0.174
0.500 0.343 0.826
0.250 0.000 0.000
0.750 0.000 0.000
0.250 0.500 0.500
0.750 0.500 0.500
```

Calculated values
D(E_F)   15.22 states/eV per cell
Electronic total energy   -46.641 eV/f.u.
Calculated volume   317.0 Å³/cell
DFT formation energy   -6.7 kJ/mol of atoms


The following is a DFT calculation (GGA-PBE) of an optimized crystal structure of Pm7Pd2Pt2.

```
Pm7Pd2Pt2
1.0
-3.852 0.940 5.727
-1.049 -6.948 0.434
6.120 -0.721 3.248
Pm Pd Pt
7 2 2
Direct
0.000 0.260 0.500
0.500 0.740 0.000
0.000 0.740 0.500
0.500 0.260 0.000
0.000 0.000 0.000
0.500 0.745 0.500
0.500 0.255 0.500
0.725 0.000 0.275
0.275 0.000 0.725
0.748 0.500 0.748
0.252 0.500 0.252
```

Calculated values
D(E_F)   8.90 states/eV per cell
Electronic total energy   -61.016 eV/f.u.
Calculated volume   339.3 Å³/cell
DFT formation energy   -46.4 kJ/mol of atoms


The following is a DFT calculation (GGA-PBE) of an optimized crystal structure of Tl2InAu.

```
Tl2InAu
1.0
4.384 0.000 0.000
0.000 4.384 0.000
2.192 2.192 11.415
Tl Au In
4 2 2
Direct
0.630 0.125 0.250
0.120 0.625 0.250
0.375 0.370 0.750
0.875 0.880 0.750
0.000 0.000 0.000
0.750 0.250 0.500
0.500 0.500 0.000
0.250 0.750 0.500
```

Calculated values
D(E_F)   4.35 states/eV per cell
Electronic total energy   -10.473 eV/f.u.
Calculated volume   219.4 Å³/cell
DFT formation energy   6.6 kJ/mol of atoms


The following is a DFT calculation (GGA-PBE) of an optimized crystal structure of Ac2EuGa.

```
Ac2EuGa
1.0
4.853 0.000 0.000
0.000 5.335 0.000
0.000 0.000 5.335
Eu Ac Ga
1 2 1
Direct
0.500 0.500 0.500
0.000 0.000 0.500
0.000 0.500 0.000
0.500 0.000 0.000
```

Calculated values
D(E_F)   5.19 states/eV per cell
Electronic total energy   -21.959 eV/f.u.
Calculated volume   138.1 Å³/cell
DFT formation energy   -10.6 kJ/mol of atoms


- Look up the electronic total energy of the fourth one.
  -61.016 eV/f.u.